[1]
The following is a DFT calculation (PBE) of a relaxed ScHg2Mo crystal.

N(E_F)   0.689 states/eV per atom
ΔE to the lowest computed polymorph   0.052 eV/atom
M_tot   0.000 μB/f.u.
Calculated density   11.17 Mg/m³
Energy of formation   174 meV/atom

abc: 2.965 2.965 9.166
angles: 90.00 90.00 90.00
Fractional coordinates of all 4 atoms:
Sc 0.000 0.000 0.000
Hg 0.000 0.000 0.530
Hg 0.500 0.500 0.256
Mo 0.500 0.500 0.770

[2]
The following is a DFT calculation (PBE) of a relaxed AcPr2Er3 crystal.

N(E_F)   1.711 states/eV per atom
M_tot   0.006 μB/f.u.
Calculated density   7.81 Mg/m³
Energy of formation   262 meV/atom

abc: 7.123 7.123 9.785
angles: 90.00 90.00 120.00
Fractional coordinates of all 12 atoms:
Ac 0.333 0.667 0.452
Ac 0.667 0.333 0.548
Pr 0.000 0.000 0.000
Pr 0.000 0.000 0.500
Pr 0.333 0.667 0.093
Pr 0.667 0.333 0.907
Er 0.183 0.367 0.777
Er 0.183 0.817 0.777
Er 0.367 0.183 0.223
Er 0.633 0.817 0.777
Er 0.817 0.183 0.223
Er 0.817 0.633 0.223

[3]
The following is a DFT calculation (PBE) of a relaxed Nd5In2Ag2 crystal.

N(E_F)   1.029 states/eV per atom
M_tot   0.000 μB/f.u.
Calculated density   7.24 Mg/m³
Energy of formation   -187 meV/atom

abc: 10.067 10.067 10.067
angles: 72.61 121.27 141.24
Fractional coordinates of all 18 atoms:
Nd 0.202 0.056 0.258
Nd 0.202 0.444 0.646
Nd 0.435 0.287 0.648
Nd 0.640 0.787 0.352
Nd 0.681 0.182 0.211
Nd 0.681 0.971 0.999
Nd 0.798 0.556 0.354
Nd 0.798 0.944 0.742
Nd 0.972 0.471 0.789
Nd 0.972 0.682 0.001
In 0.261 0.401 0.052
In 0.261 0.709 0.361
In 0.349 0.209 0.948
In 0.349 0.901 0.639
Ag 0.140 0.315 0.326
Ag 0.658 0.158 0.500
Ag 0.658 0.658 0.000
Ag 0.989 0.815 0.674

[4]
The following is a DFT calculation (PBE) of a relaxed Ge2BiRu crystal.

N(E_F)   0.721 states/eV per atom
ΔE to the lowest computed polymorph   0.149 eV/atom
M_tot   0.000 μB/f.u.
Calculated density   9.81 Mg/m³
Energy of formation   486 meV/atom

abc: 4.777 4.777 4.777
angles: 60.00 60.00 60.00
Fractional coordinates of all 4 atoms:
Ge 0.250 0.250 0.250
Ge 0.750 0.750 0.750
Bi 0.000 0.000 0.000
Ru 0.500 0.500 0.500

[5]
The following is a DFT calculation (PBE) of a relaxed Y6IrAu5 crystal.

N(E_F)   0.721 states/eV per atom
M_tot   0.000 μB/f.u.
Calculated density   10.32 Mg/m³
Energy of formation   -850 meV/atom

abc: 8.759 8.759 8.759
angles: 146.50 131.47 60.26
Fractional coordinates of all 12 atoms:
Y 0.082 0.338 0.744
Y 0.239 0.000 0.239
Y 0.405 0.662 0.744
Y 0.595 0.338 0.256
Y 0.761 0.000 0.761
Y 0.918 0.662 0.256
Ir 0.000 0.500 0.500
Au 0.174 0.174 0.000
Au 0.335 0.835 0.500
Au 0.500 0.500 0.000
Au 0.665 0.165 0.500
Au 0.826 0.826 0.000

[6]
The following is a DFT calculation (PBE) of a relaxed CdSbMo2 crystal.

N(E_F)   0.673 states/eV per atom
ΔE to the lowest computed polymorph   0.000 eV/atom
M_tot   0.000 μB/f.u.
Calculated density   8.45 Mg/m³
E_form (uncorrected)   0.23 eV per atom

abc: 3.225 3.225 8.054
angles: 90.00 90.00 90.00
Fractional coordinates of all 4 atoms:
Cd 0.000 0.000 0.000
Sb 0.500 0.500 0.638
Mo 0.000 0.000 0.404
Mo 0.500 0.500 0.242

Q: What is the M_tot in the fifth record?
A: 0.000 μB/f.u.

Q: Among the records above, which one has the lowest calculated density?
A: Nd5In2Ag2